Entry 1:
Below is an optimized crystal structure of ZnAg3, with properties calculated at the PBEsol level.

Properties
Space group   No. 194
DFT total energy   -2.91 eV per atom
Energy of formation from the pure elements   -0.035 eV per atom

a = 5.615 Å, b = 5.615 Å, c = 4.636 Å
α = 90.00°, β = 90.00°, γ = 120.00°
Sites, in units of the cell vectors:
Zn: 0.333 0.667 0.250
Zn: 0.667 0.333 0.750
Ag: 0.168 0.337 0.750
Ag: 0.168 0.832 0.750
Ag: 0.337 0.168 0.250
Ag: 0.663 0.832 0.750
Ag: 0.832 0.168 0.250
Ag: 0.832 0.663 0.250


Entry 2:
Below is an optimized crystal structure of ZnAg2, with properties calculated at the PBEsol level.

Properties
Space group   No. 71
ΔE to the lowest computed polymorph   27 meV/atom
DFT total energy   -2.78 eV per atom
Energy of formation from the pure elements   -0.044 eV per atom

a = 5.008 Å, b = 5.008 Å, c = 5.008 Å
α = 146.42°, β = 137.27°, γ = 55.41°
Sites, in units of the cell vectors:
Zn: 0.000 0.000 0.000
Ag: 0.341 0.341 0.000
Ag: 0.659 0.659 0.000


Entry 3:
Below is an optimized crystal structure of ZnAg, with properties calculated at the PBEsol level.

Properties
Space group   No. 6
DFT total energy   -2.51 eV per atom
Energy of formation from the pure elements   -0.068 eV per atom

a = 7.499 Å, b = 2.790 Å, c = 13.027 Å
α = 90.00°, β = 90.29°, γ = 90.00°
Sites, in units of the cell vectors:
Zn: 0.000 0.000 0.000
Zn: 0.001 0.000 0.331
Zn: 0.153 0.000 0.513
Zn: 0.496 0.000 0.831
Zn: 0.499 0.500 0.167
Zn: 0.503 0.000 0.499
Zn: 0.650 0.000 0.013
Zn: 0.652 0.000 0.318
Zn: 0.999 0.500 0.665
Ag: 0.148 0.000 0.818
Ag: 0.194 0.000 0.167
Ag: 0.323 0.500 0.351
Ag: 0.326 0.500 0.985
Ag: 0.356 0.500 0.661
Ag: 0.696 0.000 0.666
Ag: 0.811 0.500 0.853
Ag: 0.824 0.500 0.480
Ag: 0.852 0.500 0.166


Entry 4:
Below is an optimized crystal structure of ZnAg2, with properties calculated at the PBEsol level.

Properties
Space group   No. 58
ΔE to the lowest computed polymorph   40 meV/atom
DFT total energy   -2.77 eV per atom
Energy of formation from the pure elements   -0.031 eV per atom

a = 2.821 Å, b = 7.783 Å, c = 4.300 Å
α = 90.00°, β = 90.00°, γ = 90.00°
Sites, in units of the cell vectors:
Zn: 0.000 0.000 0.000
Zn: 0.500 0.500 0.500
Ag: 0.195 0.335 0.000
Ag: 0.305 0.835 0.500
Ag: 0.695 0.165 0.500
Ag: 0.805 0.665 0.000